Density functional theory data (PBE) for a relaxed Nb2InPN crystal.

POSCAR file:
```
Nb2InPN
1.0
-1.000 4.397 -0.976
-4.481 -1.304 -1.286
-1.431 0.638 4.340
Nb P N In
2 1 1 1
direct
0.000 0.000 0.500
0.500 0.000 0.000
0.000 0.000 0.000
0.500 0.500 0.500
0.000 0.500 0.000
```

Values from the calculation:
Space group   No. 123
Total DFT energy (no corrections)   -29.25 eV/cell
Energy relative to the elements, uncorrected   7.36 eV/f.u.
Distance to the lowest polymorph of the same formula   1375 meV/atom
Total moment   0.00 μB/f.u.